Density functional theory data (PBE) for DyGaNi after structural relaxation.

Cell: 6.861 4.297 7.335 Å, 90.00 90.00 90.00°
Fractional positions:
Dy  0.020  0.250  0.195
Dy  0.480  0.750  0.695
Dy  0.520  0.250  0.305
Dy  0.980  0.750  0.805
Ga  0.174  0.250  0.577
Ga  0.326  0.750  0.077
Ga  0.674  0.250  0.923
Ga  0.826  0.750  0.423
Ni  0.211  0.750  0.404
Ni  0.289  0.250  0.904
Ni  0.711  0.750  0.096
Ni  0.789  0.250  0.596

Calculated values
Crystal system: orthorhombic
Formation energy: -643 meV/atom
Raw total energy: -61.36 eV/cell

***

Density functional theory data (PBE) for Dy3Ga2Ni6 after structural relaxation.

Cell: 7.706 7.706 7.706 Å, 109.47 109.47 109.47°
Fractional positions:
Dy  0.000  0.291  0.291
Dy  0.000  0.709  0.709
Dy  0.291  0.000  0.291
Dy  0.291  0.291  0.000
Dy  0.709  0.000  0.709
Dy  0.709  0.709  0.000
Ga  0.000  0.000  0.500
Ga  0.000  0.500  0.000
Ga  0.500  0.000  0.000
Ga  0.500  0.500  0.500
Ni  0.000  0.337  0.663
Ni  0.000  0.663  0.337
Ni  0.326  0.663  0.663
Ni  0.337  0.000  0.663
Ni  0.337  0.337  0.674
Ni  0.337  0.663  0.000
Ni  0.337  0.674  0.337
Ni  0.663  0.000  0.337
Ni  0.663  0.326  0.663
Ni  0.663  0.337  0.000
Ni  0.663  0.663  0.326
Ni  0.674  0.337  0.337

Calculated values
Crystal system: cubic
Formation energy: -554 meV/atom
Raw total energy: -121.29 eV/cell

***

Density functional theory data (PBE) for DyGa3Ni2 after structural relaxation.

Cell: 9.013 9.013 4.069 Å, 90.00 90.00 120.00°
Fractional positions:
Dy  0.000  0.000  0.000
Dy  0.333  0.667  0.500
Dy  0.667  0.333  0.500
Ga  0.000  0.293  0.500
Ga  0.000  0.500  0.000
Ga  0.000  0.707  0.500
Ga  0.293  0.000  0.500
Ga  0.293  0.293  0.500
Ga  0.500  0.000  0.000
Ga  0.500  0.500  0.000
Ga  0.707  0.000  0.500
Ga  0.707  0.707  0.500
Ni  0.183  0.367  0.000
Ni  0.183  0.817  0.000
Ni  0.367  0.183  0.000
Ni  0.633  0.817  0.000
Ni  0.817  0.183  0.000
Ni  0.817  0.633  0.000

Calculated values
Crystal system: hexagonal
Formation energy: -565 meV/atom
Raw total energy: -85.90 eV/cell

***

Density functional theory data (PBE) for Dy12GaNi6 after structural relaxation.

Cell: 8.392 8.392 8.392 Å, 108.68 108.68 108.68°
Fractional positions:
Dy  0.049  0.349  0.110
Dy  0.110  0.049  0.349
Dy  0.176  0.467  0.643
Dy  0.349  0.110  0.049
Dy  0.357  0.824  0.533
Dy  0.467  0.643  0.176
Dy  0.533  0.357  0.824
Dy  0.643  0.176  0.467
Dy  0.651  0.890  0.951
Dy  0.824  0.533  0.357
Dy  0.890  0.951  0.651
Dy  0.951  0.651  0.890
Ga  0.500  0.500  0.500
Ni  0.143  0.785  0.715
Ni  0.215  0.285  0.857
Ni  0.285  0.857  0.215
Ni  0.715  0.143  0.785
Ni  0.785  0.715  0.143
Ni  0.857  0.215  0.285

Calculated values
Crystal system: trigonal
Formation energy: -227 meV/atom
Raw total energy: -97.25 eV/cell
Excess energy over the best structure of this formula in the dataset: 131.9 meV per atom

***

Density functional theory data (PBE) for DyGa6Ni2 after structural relaxation.

Cell: 5.692 5.692 6.132 Å, 90.00 90.00 120.00°
Fractional positions:
Dy  0.000  0.000  0.000
Ga  0.000  0.500  0.211
Ga  0.000  0.500  0.789
Ga  0.500  0.000  0.211
Ga  0.500  0.000  0.789
Ga  0.500  0.500  0.211
Ga  0.500  0.500  0.789
Ni  0.333  0.667  0.500
Ni  0.667  0.333  0.500

Calculated values
Crystal system: hexagonal
Formation energy: -193 meV/atom
Raw total energy: -36.06 eV/cell

***

Density functional theory data (PBE) for DyGa2Ni3 after structural relaxation.

Cell: 8.777 8.777 4.089 Å, 90.00 90.00 120.00°
Fractional positions:
Dy  0.000  0.000  0.000
Dy  0.333  0.667  0.500
Dy  0.667  0.333  0.500
Ga  0.000  0.272  0.500
Ga  0.000  0.522  0.000
Ga  0.272  0.000  0.500
Ga  0.478  0.478  0.000
Ga  0.522  0.000  0.000
Ga  0.728  0.728  0.500
Ni  0.000  0.709  0.500
Ni  0.173  0.374  0.000
Ni  0.202  0.827  0.000
Ni  0.291  0.291  0.500
Ni  0.374  0.173  0.000
Ni  0.626  0.798  0.000
Ni  0.709  0.000  0.500
Ni  0.798  0.626  0.000
Ni  0.827  0.202  0.000

Calculated values
Crystal system: hexagonal
Formation energy: -561 meV/atom
Raw total energy: -94.10 eV/cell

***

Density functional theory data (PBE) for DyGa4Ni2 after structural relaxation.

Cell: 16.843 4.157 6.380 Å, 90.00 90.00 90.00°
Fractional positions:
Dy  0.140  0.250  0.014
Dy  0.360  0.750  0.514
Dy  0.640  0.250  0.486
Dy  0.860  0.750  0.986
Ga  0.034  0.750  0.839
Ga  0.072  0.250  0.498
Ga  0.185  0.750  0.321
Ga  0.195  0.750  0.726
Ga  0.305  0.250  0.226
Ga  0.315  0.250  0.821
Ga  0.428  0.750  0.998
Ga  0.466  0.250  0.339
Ga  0.534  0.750  0.661
Ga  0.572  0.250  0.002
Ga  0.685  0.750  0.179
Ga  0.695  0.750  0.774
Ga  0.805  0.250  0.274
Ga  0.815  0.250  0.679
Ga  0.928  0.750  0.502
Ga  0.966  0.250  0.161
Ni  0.038  0.750  0.246
Ni  0.216  0.250  0.528
Ni  0.284  0.750  0.028
Ni  0.462  0.250  0.746
Ni  0.538  0.750  0.254
Ni  0.716  0.250  0.972
Ni  0.784  0.750  0.472
Ni  0.962  0.250  0.754

Calculated values
Crystal system: orthorhombic
Formation energy: -535 meV/atom
Raw total energy: -128.06 eV/cell

***

Density functional theory data (PBE) for DyGa12Ni6 after structural relaxation.

Cell: 6.924 6.924 6.924 Å, 104.36 104.36 104.36°
Fractional positions:
Dy  0.000  0.000  0.000
Ga  0.115  0.500  0.885
Ga  0.115  0.885  0.500
Ga  0.149  0.404  0.404
Ga  0.404  0.149  0.404
Ga  0.404  0.404  0.149
Ga  0.500  0.115  0.885
Ga  0.500  0.885  0.115
Ga  0.596  0.596  0.851
Ga  0.596  0.851  0.596
Ga  0.851  0.596  0.596
Ga  0.885  0.115  0.500
Ga  0.885  0.500  0.115
Ni  0.284  0.284  0.710
Ni  0.284  0.710  0.284
Ni  0.290  0.716  0.716
Ni  0.710  0.284  0.284
Ni  0.716  0.290  0.716
Ni  0.716  0.716  0.290

Calculated values
Crystal system: trigonal
Formation energy: -316 meV/atom
Raw total energy: -81.61 eV/cell

***

Question: Which of these has the highest formation energy?
Answer: DyGa6Ni2